First-principles (meta-GGA SCAN) data for a crystal of KPRu3 relaxed with PBEsol, as listed in the Alexandria database.

Cell lengths 4.4364, 4.4364, 4.4364 Å; angles 90.00, 90.00, 90.00 degrees
Space group Pm-3m (No. 221)
One atom of each set of equivalent atoms:
K (0.0000, 0.0000, 0.0000) [1 per cell]
P (0.5000, 0.5000, 0.5000) [1 per cell]
Ru (0.0000, 0.5000, 0.5000) [3 per cell]

Computed properties:
Volume ... 87 Å³/cell
Total magnetization ... 2.50 μB per formula unit
VASP energy ... -24.00 eV/atom